Below is an optimized crystal structure of Pr6GeOs2Br3, with properties calculated at the PBE-GGA level.

Results
* Fermi-level density of states: 8.34 states/eV/cell
* raw formation energy: -819 meV per atom
* symmetry: C2/m (12)
* electronic total energy: -70.6 eV per cell

abc: 7.359 7.359 8.129
angles: 98.73 98.73 120.07
Fractional positions:
1 Pr 0.934 0.582 0.800
2 Pr 0.715 0.715 0.200
3 Pr 0.066 0.418 0.200
4 Pr 0.582 0.934 0.800
5 Pr 0.285 0.285 0.800
6 Pr 0.418 0.066 0.200
7 Ge 0.000 0.000 0.000
8 Os 0.333 0.667 0.000
9 Os 0.667 0.333 0.000
10 Br 0.164 0.836 0.500
11 Br 0.836 0.164 0.500
12 Br 0.500 0.500 0.500